--- w ---
First-principles (GGA-PBE) data for an optimized crystal structure of LiMg6, as listed in the Alexandria database.

The value obtained for the magnetic moment is 0.0 μB/f.u.

It has space group Im-3m (No. 229), with a = 8.170 Å, b = 8.170 Å, c = 8.170 Å, α = 90.00°, β = 90.00° and γ = 90.00°. Symmetry generates all atoms from Li at (0.000, 0.000, 0.000) and Mg at (0.000, 0.250, 0.500).



--- x ---
First-principles (GGA-PBE) data for an optimized crystal structure of LiMg6, as listed in the Alexandria database.

The value obtained for the magnetic moment is 0.0 μB/f.u.

It has space group R-3 (No. 148, hexagonal axes), with a = 13.2754 Å, b = 13.2754 Å, c = 3.0596 Å, α = 90.00°, β = 90.00° and γ = 120.00°. Symmetry generates all atoms from Li at (0.0000, 0.0000, 0.0000) and Mg at (0.0422, 0.2324, 0.7031).



Most stable to least stable, the ends of the list are x and w.